Entry 1:
Ni3Ru | GGA-PBEsol | relaxed

Unit cell a=4.3213 b=4.3213 c=4.3506 alpha=99.31 beta=99.31 gamma=33.80
Sites, in units of the cell vectors:
Ni 0.0000 0.0000 0.0000
Ni 0.2506 0.2506 0.7513
Ni 0.7494 0.7494 0.2487
Ru 0.5000 0.5000 0.5000

Calculated values
E_form = 0.090 eV/atom
Final energy = -0.520 Ry/atom
Total magnetization = 0.04 μB per formula unit
Space-group type = C2/m, No. 12

=====

Entry 2:
NiRuS4 | GGA-PBEsol | relaxed

Unit cell a=5.5068 b=5.5745 c=5.5871 alpha=90.00 beta=90.70 gamma=90.00
Sites, in units of the cell vectors:
Ni 0.0000 0.0000 0.0000
Ni 0.0000 0.5000 0.5000
Ru 0.5000 0.0000 0.5000
Ru 0.5000 0.5000 0.0000
S 0.1086 0.1120 0.6063
S 0.1086 0.3880 0.1063
S 0.3874 0.6121 0.6122
S 0.3874 0.8879 0.1122
S 0.6126 0.1121 0.8878
S 0.6126 0.3879 0.3878
S 0.8914 0.6120 0.8937
S 0.8914 0.8880 0.3937

Calculated values
E_form (uncorrected) = -0.504 eV per atom
Final energy = -0.452 Ry/atom
Total magnetization = 0.00 μB per formula unit
Space-group type = P2_1/c, No. 14

=====

Entry 3:
NiSbRu2 | GGA-PBEsol | relaxed

Unit cell a=4.6617 b=4.6617 c=4.6617 alpha=131.02 beta=131.02 gamma=71.79
Sites, in units of the cell vectors:
Ni 0.0000 0.0000 0.0000
Sb 0.7500 0.2500 0.5000
Ru 0.2500 0.7500 0.5000
Ru 0.5000 0.5000 0.0000

Calculated values
E_form (uncorrected) = 0.125 eV per atom
Final energy = -0.562 Ry/atom
Total magnetization = 0.00 μB per formula unit
Space-group type = I-4m2, No. 119

=====

Entry 4:
NiSb6Ru | GGA-PBEsol | relaxed

Unit cell a=7.8997 b=7.8997 c=9.1484 alpha=124.85 beta=124.85 gamma=71.08
Sites, in units of the cell vectors:
Ni 0.0000 0.5000 0.0000
Ni 0.5000 0.0000 0.0000
Sb 0.0058 0.3203 0.1615
Sb 0.1594 0.8342 0.3394
Sb 0.1658 0.8406 0.6606
Sb 0.3203 0.0058 0.1615
Sb 0.3415 0.3415 0.0025
Sb 0.3440 0.3440 0.6782
Sb 0.6560 0.6560 0.3218
Sb 0.6585 0.6585 0.9975
Sb 0.6797 0.9942 0.8385
Sb 0.8342 0.1594 0.3394
Sb 0.8406 0.1658 0.6606
Sb 0.9942 0.6797 0.8385
Ru 0.0000 0.5000 0.5000
Ru 0.5000 0.0000 0.5000

Calculated values
E_form (uncorrected) = -0.206 eV per atom
Final energy = -0.416 Ry/atom
Total magnetization = 0.00 μB per formula unit
Space-group type = C2/m, No. 12

=====

Entry 5:
NiSbRu2 | GGA-PBEsol | relaxed

Unit cell a=2.8771 b=3.6758 c=5.4280 alpha=90.00 beta=90.00 gamma=90.00
Sites, in units of the cell vectors:
Ni 0.0000 0.0000 0.0000
Sb 0.5000 0.5000 0.7476
Ru 0.0000 0.0000 0.4615
Ru 0.5000 0.5000 0.2335

Calculated values
E_form (uncorrected) = 0.185 eV per atom
Final energy = -0.557 Ry/atom
Total magnetization = 0.00 μB per formula unit
Space-group type = Pmm2, No. 25

=====

Entry 6:
Y2NiSbRu | GGA-PBEsol | relaxed

Unit cell a=5.1001 b=5.1001 c=4.3718 alpha=90.00 beta=90.00 gamma=90.00
Sites, in units of the cell vectors:
Y 0.0000 0.5000 0.0000
Y 0.5000 0.0000 0.0000
Ni 0.0000 0.0000 0.0000
Sb 0.5000 0.5000 0.5000
Ru 0.0000 0.0000 0.5000

Calculated values
E_form (uncorrected) = -0.077 eV per atom
Final energy = -0.513 Ry/atom
Total magnetization = 0.00 μB per formula unit
Space-group type = P4/mmm, No. 123

=====

Entry 7:
ScNiRu2 | GGA-PBEsol | relaxed

Unit cell a=5.0817 b=5.0817 c=2.7224 alpha=102.87 beta=102.87 gamma=118.52
Sites, in units of the cell vectors:
Sc 0.0000 0.0000 0.0000
Ni 0.5000 0.5000 0.0000
Ru 0.0000 0.5000 0.5000
Ru 0.5000 0.0000 0.5000

Calculated values
E_form = -0.010 eV/atom
Final energy = -0.609 Ry/atom
Total magnetization = 0.00 μB per formula unit
Space-group type = C2/m, No. 12

=====

Entry 8:
ScNiRu | GGA-PBEsol | relaxed

Unit cell a=2.8739 b=2.8739 c=6.1327 alpha=90.00 beta=90.00 gamma=120.00
Sites, in units of the cell vectors:
Sc 0.0000 0.0000 0.0000
Ni 0.3333 0.6667 0.6629
Ru 0.6667 0.3333 0.3421

Calculated values
E_form = 0.180 eV/atom
Final energy = -0.549 Ry/atom
Total magnetization = 0.00 μB per formula unit
Space-group type = P3m1, No. 156

=====

Look up the final energy of the second one. -0.452 Ry/atom

=====

What is the final energy in the fourth record? -0.416 Ry/atom

=====

What is the total magnetization in the fifth record? 0.00 μB per formula unit

=====

What is the final energy in the seventh record? -0.609 Ry/atom